Entry 1:
Here is crystalline DyUCo3 at its relaxed geometry from Alexandria via LeMat-Bulk. Energies are from PBE.

Computed properties:
- Fermi-level density of states: 4.40 states/eV/f.u.
- ΔH_f (0 K): -20.79 kJ/mol of atoms
- Size of the total moment: 0.00 μB per formula unit
- Calculated volume: 346 Å³ per cell
- E above lowest polymorph: 0.0 meV/atom
- Uncorrected energy: -7.657 eV per atom

Cell: 10.628 5.978 7.337 Å, 90.00 132.13 90.00°
Space group Cm (No. 8)
Symmetry-distinct sites (fractional):
Dy (0.000, 0.000, 0.000) x2
Dy (0.001, 0.000, 0.501) x2
U (0.104, 0.500, 0.879) x2
U (0.105, 0.500, 0.379) x2
Co (0.272, 0.214, 0.013) x4
Co (0.272, 0.214, 0.512) x4
Co (0.386, 0.000, 0.874) x2
Co (0.387, 0.000, 0.375) x2

Entry 2:
Here is crystalline Na3Zr4S8 at its relaxed geometry from Alexandria via LeMat-Bulk. Energies are from PBE.

Computed properties:
- Fermi-level density of states: 5.36 states/eV/f.u.
- Size of the total moment: 0.00 μB per formula unit
- Calculated volume: 608 Å³ per cell
- Uncorrected energy: -6.169 eV per atom
- E_form (uncorrected): -1.425 eV per atom

Cell: 10.580 10.692 7.435 Å, 90.00 133.73 90.00°
Space group C2/m (No. 12)
Symmetry-distinct sites (fractional):
Na (0.000, 0.000, 0.000) x2
Na (0.250, 0.250, 0.000) x4
Zr (0.000, 0.500, 0.000) x2
Zr (0.000, 0.500, 0.500) x2
Zr (0.250, 0.250, 0.500) x4
S (0.000, 0.253, 0.500) x4
S (0.000, 0.255, 0.000) x4
S (0.226, 0.500, 0.974) x4
S (0.247, 0.500, 0.491) x4

Entry 3:
Here is crystalline Bi2Se3 at its relaxed geometry from Alexandria via LeMat-Bulk. Energies are from PBE.

Computed properties:
- Fermi-level density of states: 1.81 states/eV/f.u.
- Size of the total moment: 0.00 μB per formula unit
- Calculated volume: 1007 Å³ per cell
- Uncorrected energy: -3.564 eV per atom
- E_form (uncorrected): 0.079 eV per atom

Cell: 7.330 14.730 9.327 Å, 90.00 90.00 90.00°
Space group Cmcm (No. 63)
Symmetry-distinct sites (fractional):
Bi (0.000, 0.097, 0.250) x4
Bi (0.000, 0.349, 0.250) x4
Se (0.000, 0.000, 0.000) x4
Se (0.230, 0.266, 0.750) x8

Entry 4:
Here is crystalline Pm6Ho8In at its relaxed geometry from Alexandria via LeMat-Bulk. Energies are from PBE.

Computed properties:
- Fermi-level density of states: 17.66 states/eV/f.u.
- ΔH_f (0 K): 6.81 kJ/mol of atoms
- Size of the total moment: 0.00 μB per formula unit
- Calculated volume: 489 Å³ per cell
- Uncorrected energy: -4.454 eV per atom

Cell: 9.4064 9.4064 6.3806 Å, 90.00 90.00 120.00°
Space group P-3 (No. 147)
Symmetry-distinct sites (fractional):
Pm (0.0904, 0.6406, 0.1822) x6
Ho (0.0389, 0.7751, 0.6869) x6
Ho (0.3333, 0.6667, 0.6673) x2
In (0.0000, 0.0000, 0.0000) x1

Entry 5:
Here is crystalline RbPd3Pt at its relaxed geometry from Alexandria via LeMat-Bulk. Energies are from PBE.

Computed properties:
- Fermi-level density of states: 6.97 states/eV/f.u.
- ΔH_f (0 K): 52.58 kJ/mol of atoms
- Size of the total moment: 0.00 μB per formula unit
- Calculated volume: 129 Å³ per cell
- E above lowest polymorph: 0.0 meV/atom
- Uncorrected energy: -3.972 eV per atom

Cell: 5.050 5.050 5.050 Å, 90.00 90.00 90.00°
Space group Pm-3m (No. 221)
Symmetry-distinct sites (fractional):
Rb (0.000, 0.000, 0.000) x1
Pd (0.000, 0.500, 0.500) x3
Pt (0.500, 0.500, 0.500) x1

Entry 6:
Here is crystalline Sr2PaCuO6 at its relaxed geometry from Alexandria via LeMat-Bulk. Energies are from PBE.

Computed properties:
- Fermi-level density of states: 0.96 states/eV/f.u.
- Size of the total moment: 0.00 μB per formula unit
- Calculated volume: 147 Å³ per cell
- Uncorrected energy: -7.171 eV per atom
- E_form (uncorrected): -2.501 eV per atom

Cell: 4.242 4.242 8.180 Å, 90.00 90.00 90.00°
Space group P4/mmm (No. 123)
Symmetry-distinct sites (fractional):
Sr (0.000, 0.000, 0.197) x2
Pa (0.500, 0.500, 0.500) x1
Cu (0.500, 0.500, 0.000) x1
O (0.000, 0.500, 0.000) x2
O (0.000, 0.500, 0.500) x2
O (0.500, 0.500, 0.237) x2

Entry 7:
Here is crystalline K6MgHg4 at its relaxed geometry from Alexandria via LeMat-Bulk. Energies are from PBE.

Computed properties:
- Fermi-level density of states: 4.95 states/eV/f.u.
- ΔH_f (0 K): -15.60 kJ/mol of atoms
- Size of the total moment: 0.00 μB per formula unit
- Calculated volume: 948 Å³ per cell
- Uncorrected energy: -1.015 eV per atom

Cell: 11.5607 11.5607 8.1920 Å, 90.00 90.00 120.00°
Space group P6_3mc (No. 186)
Symmetry-distinct sites (fractional):
K (0.0535, 0.5267, 0.0000) x6
K (0.1338, 0.2676, 0.3046) x6
Mg (0.3333, 0.6667, 0.6267) x2
Hg (0.1944, 0.3888, 0.7196) x6
Hg (0.3333, 0.6667, 0.2744) x2

Entry 8:
Here is crystalline UP2PdRu2 at its relaxed geometry from Alexandria via LeMat-Bulk. Energies are from PBE.

Computed properties:
- Fermi-level density of states: 6.79 states/eV/f.u.
- ΔH_f (0 K): -49.39 kJ/mol of atoms
- Size of the total moment: 2.47 μB per formula unit
- Calculated volume: 187 Å³ per cell
- Uncorrected energy: -8.154 eV per atom

Cell: 3.895 8.180 5.877 Å, 90.00 90.00 90.00°
Space group Pmc2_1 (No. 26)
Symmetry-distinct sites (fractional):
U (0.000, 0.063, 0.000) x2
P (0.000, 0.393, 0.795) x2
P (0.500, 0.192, 0.285) x2
Pd (0.500, 0.207, 0.685) x2
Ru (0.000, 0.337, 0.396) x2
Ru (0.500, 0.429, 0.058) x2

Entry 9:
Here is crystalline TaMn2Mo at its relaxed geometry from Alexandria via LeMat-Bulk. Energies are from PBE.

Computed properties:
- Fermi-level density of states: 5.40 states/eV/f.u.
- ΔH_f (0 K): 9.38 kJ/mol of atoms
- Size of the total moment: 0.15 μB per formula unit
- Calculated volume: 115 Å³ per cell
- E above lowest polymorph: 130.9 meV/atom
- Uncorrected energy: -10.159 eV per atom

Cell: 3.329 4.250 8.118 Å, 90.00 90.00 90.00°
Space group Cmm2 (No. 35)
Symmetry-distinct sites (fractional):
Ta (0.000, 0.000, 0.000) x2
Mn (0.000, 0.000, 0.538) x2
Mn (0.000, 0.500, 0.740) x2
Mo (0.000, 0.500, 0.290) x2

Entry 10:
Here is crystalline AsBr2 at its relaxed geometry from Alexandria via LeMat-Bulk. Energies are from PBE.

Computed properties:
- Fermi-level density of states: 2.12 states/eV/f.u.
- Size of the total moment: 0.00 μB per formula unit
- Calculated volume: 337 Å³ per cell
- E above lowest polymorph: 317.3 meV/atom
- Uncorrected energy: -2.624 eV per atom
- E_form (uncorrected): 0.041 eV per atom

Cell: 6.956 6.956 6.956 Å, 90.00 90.00 90.00°
Space group Pa-3 (No. 205)
Symmetry-distinct sites (fractional):
As (0.000, 0.000, 0.000) x4
Br (0.154, 0.654, 0.846) x8

Entry 11:
Here is crystalline LaSi2Pt at its relaxed geometry from Alexandria via LeMat-Bulk. Energies are from PBE.

Computed properties:
- Fermi-level density of states: 1.93 states/eV/f.u.
- Size of the total moment: 0.00 μB per formula unit
- Calculated volume: 171 Å³ per cell
- Uncorrected energy: -6.128 eV per atom
- E_form (uncorrected): -0.674 eV per atom

Cell: 4.165 5.951 6.915 Å, 90.00 90.00 90.00°
Space group Immm (No. 71)
Symmetry-distinct sites (fractional):
La (0.000, 0.000, 0.000) x2
Si (0.000, 0.500, 0.181) x4
Pt (0.000, 0.000, 0.500) x2

Entry 12:
Here is crystalline La3ErCd at its relaxed geometry from Alexandria via LeMat-Bulk. Energies are from PBE.

Computed properties:
- Fermi-level density of states: 8.28 states/eV/f.u.
- ΔH_f (0 K): -0.86 kJ/mol of atoms
- Size of the total moment: 0.00 μB per formula unit
- Calculated volume: 349 Å³ per cell
- E above lowest polymorph: 90.4 meV/atom
- Uncorrected energy: -4.061 eV per atom

Cell: 3.877 10.859 8.292 Å, 90.00 90.00 90.00°
Space group Pmmn (No. 59, origin choice 2)
Symmetry-distinct sites (fractional):
La (0.250, 0.002, 0.245) x4
La (0.250, 0.750, 0.550) x2
Er (0.250, 0.750, 0.942) x2
Cd (0.250, 0.250, 0.772) x2

What is the calculated volume in the eleventh record?
171 Å³ per cell

What is the uncorrected energy in the eighth record?
-8.154 eV per atom